[1]
A plane-wave DFT calculation with GGA-PBE was carried out for a relaxed structure of KPuH8Pt2.

Geometry as CIF:
```
data_KPuH8Pt2
_cell_length_a 4.8545
_cell_length_b 4.8545
_cell_length_c 21.0109
_cell_angle_alpha 90.00
_cell_angle_beta 90.00
_cell_angle_gamma 120.00
_space_group_name_H-M_alt 'R -3 m'
_space_group_IT_number 166
_space_group_name_Hall '-R 3 2"'
loop_
_atom_site_label
_atom_site_type_symbol
_atom_site_fract_x
_atom_site_fract_y
_atom_site_fract_z
K1 K 0.0000 0.0000 0.0000
Pu1 Pu 0.0000 0.0000 0.5000
H1 H 0.0000 0.0000 0.1374
H2 H 0.0078 0.5039 0.0733
Pt1 Pt 0.0000 0.0000 0.2172
```

Computed properties:
E = -4.62 eV per atom
total magnetic moment = 16.355 Bohr magnetons per cell
density of states at the Fermi level = 36.0 states/eV per cell



[2]
A plane-wave DFT calculation with GGA-PBE was carried out for a relaxed structure of ScMn2Ga2.

Geometry as CIF:
```
data_ScMn2Ga2
_cell_length_a 7.390
_cell_length_b 7.390
_cell_length_c 2.770
_cell_angle_alpha 90.00
_cell_angle_beta 90.00
_cell_angle_gamma 90.00
_space_group_name_H-M_alt 'P 4/m b m'
_space_group_IT_number 127
_space_group_name_Hall '-P 4 2ab'
loop_
_atom_site_label
_atom_site_type_symbol
_atom_site_fract_x
_atom_site_fract_y
_atom_site_fract_z
Sc1 Sc 0.000 0.000 0.000
Mn1 Mn 0.121 0.379 0.000
Ga1 Ga 0.172 0.672 0.500
```

Computed properties:
total magnetic moment = 8.274 Bohr magnetons per cell
energy of formation = -0.16 eV per atom
density of states at the Fermi level = 6.7 states/eV per cell
energy above the lowest structure with this stoichiometry = 1.02 kcal/mol of atoms



[3]
A plane-wave DFT calculation with GGA-PBE was carried out for a relaxed structure of KI2BrN.

Geometry as CIF:
```
data_KI2BrN
_cell_length_a 7.094
_cell_length_b 7.094
_cell_length_c 3.741
_cell_angle_alpha 90.00
_cell_angle_beta 90.00
_cell_angle_gamma 90.00
_space_group_name_H-M_alt 'P 4/m m m'
_space_group_IT_number 123
_space_group_name_Hall '-P 4 2'
loop_
_atom_site_label
_atom_site_type_symbol
_atom_site_fract_x
_atom_site_fract_y
_atom_site_fract_z
K1 K 0.000 0.000 0.000
I1 I 0.000 0.500 0.500
Br1 Br 0.500 0.500 0.500
N1 N 0.500 0.500 0.000
```

Computed properties:
raw formation energy = 441 meV/atom
total magnetic moment = 0.000 Bohr magnetons per cell
density of states at the Fermi level = 6.1 states/eV per cell
energy above the lowest structure with this stoichiometry = 0.00 kcal/mol of atoms



[4]
A plane-wave DFT calculation with GGA-PBE was carried out for a relaxed structure of La2PRh2.

Geometry as CIF:
```
data_La2PRh2
_cell_length_a 7.212
_cell_length_b 7.212
_cell_length_c 4.098
_cell_angle_alpha 90.00
_cell_angle_beta 90.00
_cell_angle_gamma 90.00
_space_group_name_H-M_alt 'P 4/m b m'
_space_group_IT_number 127
_space_group_name_Hall '-P 4 2ab'
loop_
_atom_site_label
_atom_site_type_symbol
_atom_site_fract_x
_atom_site_fract_y
_atom_site_fract_z
La1 La 0.181 0.319 0.000
P1 P 0.000 0.000 0.500
Rh1 Rh 0.137 0.637 0.500
```

Computed properties:
total magnetic moment = 0.000 Bohr magnetons per cell
energy of formation = -0.78 eV per atom
density of states at the Fermi level = 7.3 states/eV per cell
energy above the lowest structure with this stoichiometry = 0.00 kcal/mol of atoms



[5]
A plane-wave DFT calculation with GGA-PBE was carried out for a relaxed structure of Y3Tl3HgTe8.

Geometry as CIF:
```
data_Y3Tl3HgTe8
_cell_length_a 15.094
_cell_length_b 8.779
_cell_length_c 9.629
_cell_angle_alpha 90.00
_cell_angle_beta 121.45
_cell_angle_gamma 90.00
_space_group_name_H-M_alt 'C 1 2/m 1'
_space_group_IT_number 12
_space_group_name_Hall '-C 2y'
loop_
_atom_site_label
_atom_site_type_symbol
_atom_site_fract_x
_atom_site_fract_y
_atom_site_fract_z
Y1 Y 0.000 0.000 0.000
Y2 Y 0.250 0.250 0.000
Tl1 Tl 0.000 0.500 0.500
Tl2 Tl 0.250 0.250 0.500
Hg1 Hg 0.000 0.500 0.000
Te1 Te 0.018 0.198 0.753
Te2 Te 0.211 0.500 0.193
Te3 Te 0.241 0.000 0.218
```

Computed properties:
raw formation energy = -769 meV/atom
total magnetic moment = 0.000 Bohr magnetons per cell
density of states at the Fermi level = 12.6 states/eV per cell



[6]
A plane-wave DFT calculation with GGA-PBE was carried out for a relaxed structure of PaTiW.

Geometry as CIF:
```
data_PaTiW
_cell_length_a 4.6550
_cell_length_b 4.6550
_cell_length_c 19.2289
_cell_angle_alpha 90.00
_cell_angle_beta 90.00
_cell_angle_gamma 120.00
_space_group_name_H-M_alt 'R -3 m'
_space_group_IT_number 166
_space_group_name_Hall '-R 3 2"'
loop_
_atom_site_label
_atom_site_type_symbol
_atom_site_fract_x
_atom_site_fract_y
_atom_site_fract_z
Pa1 Pa 0.0000 0.0000 0.1027
Ti1 Ti 0.0000 0.0000 0.4302
W1 W 0.0000 0.0000 0.2945
```

Computed properties:
total magnetic moment = 0.000 Bohr magnetons per cell
energy of formation = 0.47 eV per atom
density of states at the Fermi level = 19.8 states/eV per cell



[7]
A plane-wave DFT calculation with GGA-PBE was carried out for a relaxed structure of Ce2Pm2As5.

Geometry as CIF:
```
data_Ce2Pm2As5
_cell_length_a 14.717
_cell_length_b 7.776
_cell_length_c 7.851
_cell_angle_alpha 90.00
_cell_angle_beta 90.00
_cell_angle_gamma 90.00
_space_group_name_H-M_alt 'C m c e'
_space_group_IT_number 64
_space_group_name_Hall '-C 2ac 2'
loop_
_atom_site_label
_atom_site_type_symbol
_atom_site_fract_x
_atom_site_fract_y
_atom_site_fract_z
Ce1 Ce 0.000 0.154 0.156
Pm1 Pm 0.198 0.000 0.500
As1 As 0.000 0.000 0.500
As2 As 0.135 0.155 0.848
```

Computed properties:
total magnetic moment = 0.000 Bohr magnetons per cell
energy of formation = -1.24 eV per atom
density of states at the Fermi level = 19.3 states/eV per cell



[8]
A plane-wave DFT calculation with GGA-PBE was carried out for a relaxed structure of TbSm4Al2.

Geometry as CIF:
```
data_TbSm4Al2
_cell_length_a 5.3433
_cell_length_b 5.3433
_cell_length_c 24.0803
_cell_angle_alpha 90.00
_cell_angle_beta 90.00
_cell_angle_gamma 120.00
_space_group_name_H-M_alt 'R -3 m'
_space_group_IT_number 166
_space_group_name_Hall '-R 3 2"'
loop_
_atom_site_label
_atom_site_type_symbol
_atom_site_fract_x
_atom_site_fract_y
_atom_site_fract_z
Tb1 Tb 0.0000 0.0000 0.0000
Sm1 Sm 0.0000 0.0000 0.1525
Sm2 Sm 0.0000 0.0000 0.4135
Al1 Al 0.0000 0.0000 0.2808
```

Computed properties:
total magnetic moment = 0.000 Bohr magnetons per cell
energy of formation = -0.18 eV per atom
density of states at the Fermi level = 14.7 states/eV per cell
energy above the lowest structure with this stoichiometry = 0.00 kcal/mol of atoms



[9]
A plane-wave DFT calculation with GGA-PBE was carried out for a relaxed structure of LiTc2Os.

Geometry as CIF:
```
data_LiTc2Os
_cell_length_a 2.7316
_cell_length_b 2.7316
_cell_length_c 27.4672
_cell_angle_alpha 90.00
_cell_angle_beta 90.00
_cell_angle_gamma 120.00
_space_group_name_H-M_alt 'R -3 m'
_space_group_IT_number 166
_space_group_name_Hall '-R 3 2"'
loop_
_atom_site_label
_atom_site_type_symbol
_atom_site_fract_x
_atom_site_fract_y
_atom_site_fract_z
Li1 Li 0.0000 0.0000 0.0000
Tc1 Tc 0.0000 0.0000 0.2458
Os1 Os 0.0000 0.0000 0.5000
```

Computed properties:
total magnetic moment = 0.001 Bohr magnetons per cell
energy of formation = 0.23 eV per atom
density of states at the Fermi level = 13.5 states/eV per cell
energy above the lowest structure with this stoichiometry = 1.46 kcal/mol of atoms



[10]
A plane-wave DFT calculation with GGA-PBE was carried out for a relaxed structure of NdAl2SiOs2.

Geometry as CIF:
```
data_NdAl2SiOs2
_cell_length_a 4.461
_cell_length_b 4.461
_cell_length_c 5.733
_cell_angle_alpha 90.00
_cell_angle_beta 90.00
_cell_angle_gamma 90.00
_space_group_name_H-M_alt 'P 4/m m m'
_space_group_IT_number 123
_space_group_name_Hall '-P 4 2'
loop_
_atom_site_label
_atom_site_type_symbol
_atom_site_fract_x
_atom_site_fract_y
_atom_site_fract_z
Nd1 Nd 0.000 0.000 0.000
Al1 Al 0.500 0.500 0.238
Si1 Si 0.000 0.000 0.500
Os1 Os 0.000 0.500 0.500
```

Computed properties:
raw formation energy = -241 meV/atom
total magnetic moment = 0.000 Bohr magnetons per cell
density of states at the Fermi level = 4.1 states/eV per cell



[11]
A plane-wave DFT calculation with GGA-PBE was carried out for a relaxed structure of Cs2Na5Hg4.

Geometry as CIF:
```
data_Cs2Na5Hg4
_cell_length_a 15.663
_cell_length_b 7.152
_cell_length_c 10.231
_cell_angle_alpha 90.00
_cell_angle_beta 129.68
_cell_angle_gamma 90.00
_space_group_name_H-M_alt 'C 1 2/m 1'
_space_group_IT_number 12
_space_group_name_Hall '-C 2y'
loop_
_atom_site_label
_atom_site_type_symbol
_atom_site_fract_x
_atom_site_fract_y
_atom_site_fract_z
Cs1 Cs 0.208 0.000 0.155
Na1 Na 0.000 0.500 0.000
Na2 Na 0.048 0.246 0.375
Hg1 Hg 0.160 0.000 0.736
Hg2 Hg 0.219 0.500 0.399
```

Computed properties:
total magnetic moment = 0.000 Bohr magnetons per cell
energy of formation = -0.16 eV per atom
density of states at the Fermi level = 8.1 states/eV per cell



[12]
A plane-wave DFT calculation with GGA-PBE was carried out for a relaxed structure of Y2SeBr.

Geometry as CIF:
```
data_Y2SeBr
_cell_length_a 3.8418
_cell_length_b 3.8418
_cell_length_c 23.8561
_cell_angle_alpha 90.00
_cell_angle_beta 90.00
_cell_angle_gamma 120.00
_space_group_name_H-M_alt 'R 3 m'
_space_group_IT_number 160
_space_group_name_Hall 'R 3 -2"'
loop_
_atom_site_label
_atom_site_type_symbol
_atom_site_fract_x
_atom_site_fract_y
_atom_site_fract_z
Y1 Y 0.0000 0.0000 0.0000
Y2 Y 0.0000 0.0000 0.1870
Se1 Se 0.0000 0.0000 0.5927
Br1 Br 0.0000 0.0000 0.4257
```

Computed properties:
raw formation energy = -1335 meV/atom
total magnetic moment = 0.018 Bohr magnetons per cell
density of states at the Fermi level = 10.4 states/eV per cell
energy above the lowest structure with this stoichiometry = 0.26 kcal/mol of atoms



Repeat the twelfth record exactly.
A plane-wave DFT calculation with GGA-PBE was carried out for a relaxed structure of Y2SeBr.

Geometry as CIF:
```
data_Y2SeBr
_cell_length_a 3.8418
_cell_length_b 3.8418
_cell_length_c 23.8561
_cell_angle_alpha 90.00
_cell_angle_beta 90.00
_cell_angle_gamma 120.00
_space_group_name_H-M_alt 'R 3 m'
_space_group_IT_number 160
_space_group_name_Hall 'R 3 -2"'
loop_
_atom_site_label
_atom_site_type_symbol
_atom_site_fract_x
_atom_site_fract_y
_atom_site_fract_z
Y1 Y 0.0000 0.0000 0.0000
Y2 Y 0.0000 0.0000 0.1870
Se1 Se 0.0000 0.0000 0.5927
Br1 Br 0.0000 0.0000 0.4257
```

Computed properties:
raw formation energy = -1335 meV/atom
total magnetic moment = 0.018 Bohr magnetons per cell
density of states at the Fermi level = 10.4 states/eV per cell
energy above the lowest structure with this stoichiometry = 0.26 kcal/mol of atoms